No. 1
RbMnAsIr2: relaxed, GGA-PBE.

a = 4.550 Å, b = 5.150 Å, c = 4.550 Å
α = 90.00°, β = 90.00°, γ = 90.00°
Fractional positions:
Ir  0.000  0.000  0.500
Mn  0.000  0.000  0.000
As  0.500  0.500  0.500
Ir  0.500  0.000  0.000
Rb  0.000  0.500  0.000

Summary:
For the calculated formation energy, the calculation gives 7.36 eV per formula unit. The magnetic moment is 0.00 μB/f.u. The total energy comes out at -5.03 eV per atom.



No. 2
MnReAsIr2: relaxed, GGA-PBE.

a = 4.549 Å, b = 4.387 Å, c = 4.549 Å
α = 90.00°, β = 90.00°, γ = 90.00°
Fractional positions:
As  0.000  0.000  0.000
Ir  0.500  0.000  0.000
Ir  0.000  0.000  0.500
Mn  0.000  0.500  0.000
Re  0.500  0.500  0.500

Summary:
For the calculated formation energy, the calculation gives 7.19 eV per formula unit. The magnetic moment is 6.75 μB/f.u. The total energy comes out at -7.36 eV per atom.



No. 3
MnAsIrRu: relaxed, GGA-PBE.

a = 4.327 Å, b = 4.327 Å, c = 4.327 Å
α = 60.00°, β = 60.00°, γ = 60.00°
Fractional positions:
As  0.000  0.000  0.000
Ir  0.750  0.750  0.750
Ru  0.250  0.250  0.250
Mn  0.500  0.500  0.500

Summary:
For the calculated formation energy, the calculation gives -0.12 eV per formula unit. The magnetic moment is 4.79 μB/f.u. The total energy comes out at -8.02 eV per atom.



No. 4
ScMnAs2Ir: relaxed, GGA-PBE.

a = 4.811 Å, b = 4.796 Å, c = 4.811 Å
α = 90.00°, β = 90.00°, γ = 90.00°
Fractional positions:
Ir  0.000  0.000  0.000
Mn  0.000  0.500  0.000
Sc  0.500  0.500  0.500
As  0.500  0.000  0.000
As  0.000  0.000  0.500

Summary:
For the calculated formation energy, the calculation gives 1.92 eV per formula unit. The magnetic moment is 3.79 μB/f.u. The total energy comes out at -6.35 eV per atom.



No. 5
ScMn2AsIr: relaxed, GGA-PBE.

a = 4.205 Å, b = 4.777 Å, c = 4.205 Å
α = 90.00°, β = 90.00°, γ = 90.00°
Fractional positions:
Sc  0.000  0.000  0.000
Ir  0.500  0.500  0.500
Mn  0.000  0.000  0.500
As  0.000  0.500  0.000
Mn  0.500  0.000  0.000

Summary:
For the calculated formation energy, the calculation gives 8.63 eV per formula unit. The magnetic moment is 0.00 μB/f.u. The total energy comes out at -5.91 eV per atom.



No. 6
MnAs2IrSe: relaxed, GGA-PBE.

a = 4.497 Å, b = 4.497 Å, c = 4.552 Å
α = 90.00°, β = 90.00°, γ = 90.00°
Fractional positions:
Se  0.000  0.000  0.500
As  0.000  0.500  0.000
As  0.500  0.000  0.000
Ir  0.500  0.500  0.500
Mn  0.000  0.000  0.000

Summary:
The formation energy without anion corrections is 0.80 eV per atom. Its energy above the most stable polymorph in this dataset is 0 meV per atom. The magnetic moment is 0.64 μB/f.u. The total energy comes out at -5.36 eV per atom.



No. 7
MnSiAs2Ir: relaxed, GGA-PBE.

a = 4.462 Å, b = 4.364 Å, c = 4.462 Å
α = 90.00°, β = 90.00°, γ = 90.00°
Fractional positions:
Ir  0.500  0.500  0.500
As  0.500  0.000  0.000
Si  0.000  0.500  0.000
Mn  0.000  0.000  0.000
As  0.000  0.000  0.500

Summary:
The formation energy without anion corrections is 0.72 eV per atom. The magnetic moment is 0.00 μB/f.u. The total energy comes out at -5.83 eV per atom.



No. 8
MnTcAsIr2: relaxed, GGA-PBE.

a = 4.732 Å, b = 4.592 Å, c = 4.732 Å
α = 90.00°, β = 90.00°, γ = 90.00°
Fractional positions:
As  0.000  0.500  0.000
Tc  0.000  0.000  0.000
Ir  0.000  0.000  0.500
Ir  0.500  0.000  0.000
Mn  0.500  0.500  0.500

Summary:
For the calculated formation energy, the calculation gives 8.94 eV per formula unit. Its energy above the most stable polymorph in this dataset is 292 meV per atom. The magnetic moment is 0.07 μB/f.u. The total energy comes out at -6.59 eV per atom.